[1]
! Li2ReRu PBE relaxed; values from VASP
&SYSTEM
  ibrav = 0, nat = 4, ntyp = 3
/
ATOMIC_SPECIES
Li 6.94 Li.upf
Re 186.21 Re.upf
Ru 101.07 Ru.upf
ATOMIC_POSITIONS crystal
Li 0.000 0.000 0.249
Li 0.000 0.000 0.751
Re 0.500 0.500 0.500
Ru 0.500 0.500 0.000
CELL_PARAMETERS angstrom
2.553 0.000 0.000
0.000 4.472 0.000
0.000 0.000 4.937
! Offset from the most stable computed form   0.172 eV/atom
! SG   Pmmm, No. 47
! Formation energy   0.328 eV/atom
! Volume   14.09 A^3/atom
! Final energy   -6.060 eV per atom

[2]
! Sm3TlS PBE relaxed; values from VASP
&SYSTEM
  ibrav = 0, nat = 20, ntyp = 3
/
ATOMIC_SPECIES
Sm 150.36 Sm.upf
Tl 204.38 Tl.upf
S 32.06 S.upf
ATOMIC_POSITIONS crystal
Sm 0.027 0.250 0.110
Sm 0.165 0.250 0.513
Sm 0.203 0.750 0.286
Sm 0.297 0.250 0.786
Sm 0.335 0.750 0.013
Sm 0.473 0.750 0.610
Sm 0.527 0.250 0.390
Sm 0.665 0.250 0.987
Sm 0.703 0.750 0.214
Sm 0.797 0.250 0.714
Sm 0.835 0.750 0.487
Sm 0.973 0.750 0.890
Tl 0.075 0.750 0.675
Tl 0.425 0.250 0.175
Tl 0.575 0.750 0.825
Tl 0.925 0.250 0.325
S 0.162 0.250 0.946
S 0.338 0.750 0.446
S 0.662 0.250 0.554
S 0.838 0.750 0.054
CELL_PARAMETERS angstrom
9.181 0.000 0.000
0.000 4.041 0.000
0.000 0.000 15.261
! Offset from the most stable computed form   0.000 eV/atom
! SG   Pnma, No. 62
! Formation energy without anion corrections   -981 meV/atom
! Volume   28.31 A^3/atom
! Final energy   -5.111 eV per atom

[3]
! PuHf2BeN4 PBE relaxed; values from VASP
&SYSTEM
  ibrav = 0, nat = 16, ntyp = 4
/
ATOMIC_SPECIES
Pu 244.00 Pu.upf
Hf 178.49 Hf.upf
Be 9.01 Be.upf
N 14.01 N.upf
ATOMIC_POSITIONS crystal
Pu 0.103 0.897 0.750
Pu 0.897 0.103 0.250
Hf 0.368 0.632 0.553
Hf 0.368 0.632 0.947
Hf 0.632 0.368 0.053
Hf 0.632 0.368 0.447
Be 0.172 0.828 0.250
Be 0.828 0.172 0.750
N 0.000 0.000 0.000
N 0.000 0.000 0.500
N 0.263 0.737 0.120
N 0.263 0.737 0.380
N 0.418 0.582 0.750
N 0.582 0.418 0.250
N 0.737 0.263 0.620
N 0.737 0.263 0.880
CELL_PARAMETERS angstrom
1.603 -5.396 0.000
1.603 5.396 0.000
0.000 0.000 10.721
! SG   Cmcm, No. 63
! Formation energy without anion corrections   -1522 meV/atom
! Volume   11.59 A^3/atom
! Final energy   -10.430 eV per atom

[4]
! La2Be4Si3Os PBE relaxed; values from VASP
&SYSTEM
  ibrav = 0, nat = 10, ntyp = 4
/
ATOMIC_SPECIES
La 138.91 La.upf
Be 9.01 Be.upf
Si 28.09 Si.upf
Os 190.23 Os.upf
ATOMIC_POSITIONS crystal
La 0.000 0.500 0.245
La 0.500 0.000 0.755
Be 0.000 0.000 0.000
Be 0.000 0.500 0.624
Be 0.500 0.000 0.376
Be 0.500 0.500 0.000
Si 0.000 0.500 0.874
Si 0.500 0.000 0.126
Si 0.500 0.500 0.500
Os 0.000 0.000 0.500
CELL_PARAMETERS angstrom
3.956 0.000 0.000
0.000 3.956 0.000
0.000 0.000 10.048
! SG   P-4m2, No. 115
! Formation energy without anion corrections   -368 meV/atom
! Volume   15.73 A^3/atom
! Final energy   -5.593 eV per atom

[5]
! MgCdCl2 PBE relaxed; values from VASP
&SYSTEM
  ibrav = 0, nat = 8, ntyp = 3
/
ATOMIC_SPECIES
Mg 24.30 Mg.upf
Cd 112.41 Cd.upf
Cl 35.45 Cl.upf
ATOMIC_POSITIONS crystal
Mg 0.000 0.000 0.000
Mg 0.500 0.500 0.500
Cd 0.000 0.500 0.251
Cd 0.500 0.000 0.751
Cl 0.000 0.000 0.533
Cl 0.000 0.500 0.676
Cl 0.500 0.000 0.176
Cl 0.500 0.500 0.033
CELL_PARAMETERS angstrom
3.428 0.000 0.000
0.000 6.392 0.000
0.000 0.000 9.626
! Offset from the most stable computed form   0.343 eV/atom
! SG   Imm2, No. 44
! Formation energy without anion corrections   -922 meV/atom
! Volume   26.37 A^3/atom
! Final energy   -2.473 eV per atom

[6]
! HfTiBi2B PBE relaxed; values from VASP
&SYSTEM
  ibrav = 0, nat = 5, ntyp = 4
/
ATOMIC_SPECIES
Hf 178.49 Hf.upf
Ti 47.87 Ti.upf
Bi 208.98 Bi.upf
B 10.81 B.upf
ATOMIC_POSITIONS crystal
Hf 0.000 0.000 0.000
Ti 0.500 0.500 0.500
Bi 0.000 0.500 0.000
Bi 0.500 0.000 0.000
B 0.000 0.000 0.500
CELL_PARAMETERS angstrom
5.607 0.000 0.000
0.000 5.607 0.000
0.000 0.000 4.399
! SG   P4/mmm, No. 123
! Formation energy   1.093 eV/atom
! Volume   27.66 A^3/atom
! Final energy   -5.365 eV per atom